--- one ---
Compound: La3Pu2Ru4
Source: Alexandria via LeMat-Bulk
Functional: PBE-GGA
Structure: optimized geometry Values from VASP.

Cell and atoms, written as Quantum ESPRESSO input:
```
&SYSTEM
  ibrav = 0, nat = 9, ntyp = 3
/
ATOMIC_SPECIES
La 138.91 La.upf
Pu 244.00 Pu.upf
Ru 101.07 Ru.upf
CELL_PARAMETERS angstrom
4.2582 0.0000 0.0000
-2.1291 5.5204 -1.3892
0.0000 0.3230 9.0531
ATOMIC_POSITIONS angstrom
La 0.0000 4.3552 4.5158
La 0.0000 0.0000 0.0000
La 2.1291 1.4882 3.1481
Pu 0.0000 3.6678 1.0481
Pu 2.1291 2.1756 6.6158
Ru 2.1291 2.4455 0.2314
Ru 0.0000 1.1679 5.5088
Ru 2.1291 4.6755 2.1551
Ru 0.0000 3.3979 7.4325
```



--- two ---
Compound: La3Pu2Ru4
Source: Alexandria via LeMat-Bulk
Functional: PBE-GGA
Structure: optimized geometry Values from VASP.

Cell and atoms, written as Quantum ESPRESSO input:
```
&SYSTEM
  ibrav = 0, nat = 18, ntyp = 3
/
ATOMIC_SPECIES
La 138.91 La.upf
Pu 244.00 Pu.upf
Ru 101.07 Ru.upf
CELL_PARAMETERS angstrom
5.4855 -0.2721 -0.1948
-0.1842 9.0650 0.4612
-0.1842 3.3574 8.4329
ATOMIC_POSITIONS angstrom
La 4.7669 9.5200 2.0631
La 3.0931 6.9937 0.2544
La 0.3504 2.6303 6.6361
La 2.0241 5.1566 8.4449
La 1.1872 5.6911 5.0298
La 3.9300 6.4592 3.6695
Pu 2.2647 2.7981 3.3922
Pu 0.1097 8.1735 7.2408
Pu 2.8525 9.3522 5.3071
Pu 5.0075 3.9768 1.4585
Ru 1.8996 8.4970 2.9306
Ru 0.4749 6.7742 1.6971
Ru 3.2176 3.6533 5.7687
Ru 4.6424 5.3761 7.0022
Ru 4.9630 2.7391 3.7304
Ru 2.8970 7.6003 7.2109
Ru 0.1542 9.4112 4.9689
Ru 2.2203 4.5500 1.4884
```



It is one that is the most stable of them.



--- one ---
Compound: LaPuS3
Source: Alexandria via LeMat-Bulk
Functional: PBE-GGA
Structure: optimized geometry Values from VASP.

Cell and atoms, written as Quantum ESPRESSO input:
```
&SYSTEM
  ibrav = 0, nat = 10, ntyp = 3
/
ATOMIC_SPECIES
La 138.91 La.upf
Pu 244.00 Pu.upf
S 32.06 S.upf
CELL_PARAMETERS angstrom
4.7454 0.0000 0.0000
0.0000 8.2318 0.1205
-2.3727 -1.0040 7.4029
ATOMIC_POSITIONS angstrom
La 2.3727 2.7006 2.1429
La 0.0000 4.5272 5.3806
Pu 2.3727 -0.0629 5.4873
Pu 0.0000 7.2908 2.0361
S 2.3727 5.5893 6.7800
S 0.0000 1.6385 0.7434
S 0.0000 7.2863 4.8617
S 2.3727 -0.0585 2.6617
S 0.0000 4.5190 2.5814
S 2.3727 2.7088 4.9420
```



--- two ---
Compound: LaPuS3
Source: Alexandria via LeMat-Bulk
Functional: PBE-GGA
Structure: optimized geometry Values from VASP.

Cell and atoms, written as Quantum ESPRESSO input:
```
&SYSTEM
  ibrav = 0, nat = 20, ntyp = 3
/
ATOMIC_SPECIES
La 138.91 La.upf
Pu 244.00 Pu.upf
S 32.06 S.upf
CELL_PARAMETERS angstrom
4.0736 0.0000 0.0000
0.0000 7.4655 0.0000
0.0000 0.0000 15.4871
ATOMIC_POSITIONS angstrom
La 3.0552 6.4457 12.3493
La 1.0184 1.0198 3.1378
La 3.0552 2.7129 10.8813
La 1.0184 4.7526 4.6058
Pu 1.0184 2.0159 14.8640
Pu 1.0184 5.7486 8.3667
Pu 3.0552 1.7169 7.1204
Pu 3.0552 5.4496 0.6231
S 1.0184 2.7716 8.7085
S 3.0552 6.3197 3.3385
S 3.0552 3.6382 13.8821
S 3.0552 7.3710 9.3486
S 3.0552 4.6939 6.7786
S 1.0184 0.0945 6.1385
S 1.0184 6.5044 14.5222
S 3.0552 2.5869 4.4051
S 1.0184 4.8786 11.0820
S 1.0184 1.1459 12.1486
S 3.0552 0.9611 0.9649
S 1.0184 3.8273 1.6050
```



It is two that is the most stable of them.



--- one ---
Compound: LaPu3S4
Source: Alexandria via LeMat-Bulk
Functional: PBE-GGA
Structure: optimized geometry Values from VASP.

Cell and atoms, written as Quantum ESPRESSO input:
```
&SYSTEM
  ibrav = 0, nat = 8, ntyp = 3
/
ATOMIC_SPECIES
La 138.91 La.upf
Pu 244.00 Pu.upf
S 32.06 S.upf
CELL_PARAMETERS angstrom
-3.4641 -4.2800 -1.4392
1.0277 -2.5136 5.0015
-4.3969 2.7845 2.3029
ATOMIC_POSITIONS angstrom
La 0.0000 0.0000 0.0000
Pu -1.6846 0.1354 3.6522
Pu -3.9305 -0.7478 0.4319
Pu -1.2182 -3.3968 1.7812
S -1.7321 -2.1400 -0.7196
S 0.5139 -1.2568 2.5008
S -2.1985 1.3922 1.1514
S -3.4167 -2.0046 2.9326
```



--- two ---
Compound: LaPu3S4
Source: Alexandria via LeMat-Bulk
Functional: PBE-GGA
Structure: optimized geometry Values from VASP.

Cell and atoms, written as Quantum ESPRESSO input:
```
&SYSTEM
  ibrav = 0, nat = 8, ntyp = 3
/
ATOMIC_SPECIES
S 32.06 S.upf
Pu 244.00 Pu.upf
La 138.91 La.upf
CELL_PARAMETERS angstrom
-2.0813 -1.6376 3.0166
5.3744 -4.1787 1.4395
0.6213 5.9022 3.6327
ATOMIC_POSITIONS angstrom
S 1.5663 0.4502 1.3251
S 3.1172 -2.4173 3.5092
S 4.4294 1.2732 3.7471
S 0.7972 2.5031 4.5796
Pu 0.3107 2.9511 1.8163
Pu 1.9572 0.0429 4.0444
Pu 2.6872 -2.0894 0.7197
La -1.0406 -0.8188 1.5083
```



It is two that is the most stable of them.



--- one ---
Compound: LaPuSb2
Source: Alexandria via LeMat-Bulk
Functional: PBE-GGA
Structure: optimized geometry Values from VASP.

Cell and atoms, written as Quantum ESPRESSO input:
```
&SYSTEM
  ibrav = 0, nat = 4, ntyp = 3
/
ATOMIC_SPECIES
Sb 121.76 Sb.upf
La 138.91 La.upf
Pu 244.00 Pu.upf
CELL_PARAMETERS angstrom
-0.6260 1.6349 4.1825
-2.5905 -2.2626 2.9544
4.8422 -3.9272 4.7175
ATOMIC_POSITIONS angstrom
Sb 0.3255 -1.0878 2.9316
Sb 1.3003 -3.4670 8.9229
La 0.8129 -2.2774 5.9272
Pu 0.0000 0.0000 0.0000
```



--- two ---
Compound: LaPuSb2
Source: Alexandria via LeMat-Bulk
Functional: PBE-GGA
Structure: optimized geometry Values from VASP.

Cell and atoms, written as Quantum ESPRESSO input:
```
&SYSTEM
  ibrav = 0, nat = 4, ntyp = 3
/
ATOMIC_SPECIES
Sb 121.76 Sb.upf
La 138.91 La.upf
Pu 244.00 Pu.upf
CELL_PARAMETERS angstrom
-0.7762 1.0391 3.0983
4.8544 -2.5140 2.0593
2.9560 4.9538 -0.9209
ATOMIC_POSITIONS angstrom
Sb 1.4780 2.4769 -0.4604
Sb 2.4272 -1.2570 1.0296
La -0.3881 0.5196 1.5491
Pu 3.5171 1.7395 2.1183
```



It is one that is the most stable of them.



--- one ---
Compound: LaPuSbTe
Source: Alexandria via LeMat-Bulk
Functional: PBE-GGA
Structure: optimized geometry Values from VASP.

Cell and atoms, written as Quantum ESPRESSO input:
```
&SYSTEM
  ibrav = 0, nat = 4, ntyp = 4
/
ATOMIC_SPECIES
Sb 121.76 Sb.upf
La 138.91 La.upf
Te 127.60 Te.upf
Pu 244.00 Pu.upf
CELL_PARAMETERS angstrom
5.4954 0.0000 0.0000
2.7477 4.7591 0.0000
2.7477 1.5864 4.4869
ATOMIC_POSITIONS angstrom
Sb 8.2430 4.7591 3.3652
La 5.4954 3.1727 2.2435
Te 2.7477 1.5864 1.1217
Pu 0.0000 0.0000 0.0000
```



--- two ---
Compound: LaPuSbTe
Source: Alexandria via LeMat-Bulk
Functional: PBE-GGA
Structure: optimized geometry Values from VASP.

Cell and atoms, written as Quantum ESPRESSO input:
```
&SYSTEM
  ibrav = 0, nat = 4, ntyp = 4
/
ATOMIC_SPECIES
La 138.91 La.upf
Pu 244.00 Pu.upf
Sb 121.76 Sb.upf
Te 127.60 Te.upf
CELL_PARAMETERS angstrom
4.5386 0.0000 0.0000
2.2693 3.9306 0.0000
2.2693 1.3102 7.3700
ATOMIC_POSITIONS angstrom
La 6.8080 3.9306 1.2822
Pu 4.5386 2.6204 4.8874
Sb 2.2693 1.3102 3.1476
Te 6.8079 3.9306 6.6813
```



It is two that is the most stable of them.



--- one ---
Compound: LaPuSc
Source: Alexandria via LeMat-Bulk
Functional: PBE-GGA
Structure: optimized geometry Values from VASP.

Cell and atoms, written as Quantum ESPRESSO input:
```
&SYSTEM
  ibrav = 0, nat = 3, ntyp = 3
/
ATOMIC_SPECIES
Sc 44.96 Sc.upf
La 138.91 La.upf
Pu 244.00 Pu.upf
CELL_PARAMETERS angstrom
3.4621 0.0000 0.0000
-1.7310 2.9982 0.0000
0.0000 0.0000 8.3522
ATOMIC_POSITIONS angstrom
Sc 0.0000 1.9988 5.4923
La 0.0000 0.0000 8.3384
Pu 1.7310 0.9994 2.8738
```



--- two ---
Compound: LaPuSc
Source: Alexandria via LeMat-Bulk
Functional: PBE-GGA
Structure: optimized geometry Values from VASP.

Cell and atoms, written as Quantum ESPRESSO input:
```
&SYSTEM
  ibrav = 0, nat = 3, ntyp = 3
/
ATOMIC_SPECIES
Sc 44.96 Sc.upf
La 138.91 La.upf
Pu 244.00 Pu.upf
CELL_PARAMETERS angstrom
-2.0404 2.8108 -0.2323
-2.7437 -2.0446 -0.6397
1.0508 -0.7772 7.4488
ATOMIC_POSITIONS angstrom
Sc -0.8746 -0.2570 4.5729
La -3.7322 -0.0107 6.5707
Pu -2.8599 0.2456 2.0100
```



It is two that is the most stable of them.